First-principles (PBE) data for an optimized crystal structure of KCdGe2Rh, as listed in Alexandria via LeMat-Bulk.

Cell: 5.278 5.415 5.278 Å, 90.00 90.00 90.00°
Element x y z (fractional)
Rh: 0.500 0.500 0.500
K: 0.000 0.000 0.000
Cd: 0.000 0.500 0.000
Ge: 0.500 0.000 0.000
Ge: 0.000 0.000 0.500

Calculated values
* energy of formation from the pure elements: 1865 meV per atom



First-principles (PBE) data for an optimized crystal structure of KCd2GeRu, as listed in Alexandria via LeMat-Bulk.

Cell: 5.317 5.317 4.717 Å, 90.00 90.00 90.00°
Element x y z (fractional)
Ge: 0.000 0.000 0.500
Cd: 0.000 0.500 0.000
Cd: 0.500 0.000 0.000
K: 0.500 0.500 0.500
Ru: 0.000 0.000 0.000

Calculated values
* energy of formation from the pure elements: -59 meV per atom



First-principles (PBE) data for an optimized crystal structure of KCdGe2S6, as listed in Alexandria via LeMat-Bulk.

Cell: 6.302 9.489 9.489 Å, 91.75 82.64 82.64°
Element x y z (fractional)
S: 0.984 0.413 0.844
S: 0.049 0.678 0.586
S: 0.451 0.414 0.322
S: 0.549 0.586 0.678
S: 0.484 0.844 0.413
S: 0.951 0.322 0.414
S: 0.016 0.587 0.156
S: 0.736 0.036 0.212
S: 0.764 0.788 0.964
S: 0.264 0.964 0.788
S: 0.236 0.212 0.036
S: 0.516 0.156 0.587
K: 0.750 0.123 0.877
K: 0.250 0.877 0.123
Ge: 0.839 0.629 0.794
Ge: 0.339 0.794 0.629
Ge: 0.661 0.206 0.371
Ge: 0.161 0.371 0.206
Cd: 0.750 0.618 0.382
Cd: 0.250 0.382 0.618

Calculated values
* E_form (uncorrected): -0.3982 eV per atom



First-principles (PBE) data for an optimized crystal structure of KCd2GeSe4, as listed in Alexandria via LeMat-Bulk.

Cell: 6.834 6.834 7.298 Å, 117.85 117.85 90.12°
Element x y z (fractional)
Se: 0.844 0.429 0.274
Se: 0.155 0.155 0.725
Se: 0.571 0.571 0.725
Se: 0.429 0.844 0.274
Cd: 0.750 0.250 0.500
Cd: 0.250 0.750 0.500
K: 0.001 0.001 0.002
Ge: 0.500 0.500 0.999

Calculated values
* E_form (uncorrected): -0.5399 eV per atom



First-principles (PBE) data for an optimized crystal structure of K2CdSiGe, as listed in Alexandria via LeMat-Bulk.

Cell: 6.538 4.822 6.538 Å, 90.00 90.00 90.00°
Element x y z (fractional)
K: 0.000 0.000 0.500
K: 0.500 0.000 0.000
Cd: 0.000 0.500 0.000
Si: 0.000 0.000 0.000
Ge: 0.500 0.500 0.500

Calculated values
* E_form (uncorrected): 0.5514 eV per atom



First-principles (PBE) data for an optimized crystal structure of KCd2GeTe4, as listed in Alexandria via LeMat-Bulk.

Cell: 7.175 7.175 7.987 Å, 116.60 116.60 90.17°
Element x y z (fractional)
Te: 0.149 0.149 0.725
Te: 0.576 0.576 0.725
Te: 0.425 0.849 0.274
Te: 0.849 0.425 0.274
Cd: 0.250 0.750 0.500
Cd: 0.750 0.250 0.500
Ge: 0.500 0.500 0.999
K: 0.002 0.002 0.003

Calculated values
* E_form (uncorrected): -0.3520 eV per atom



no.,ρ (g/cm³)
1,4.40
2,5.45
3,2.91
4,4.24
5,2.35
6,4.42